[1]
The following is a DFT calculation (PBE-GGA) of a geometry-optimized Rb2YTe2O6 structure.

Lattice parameters (Å, degrees): 5.936 5.936 7.355 106.78 106.78 66.92
Sites, in units of the cell vectors:
Rb  0.196  0.196  0.129
Rb  0.804  0.804  0.871
Y  0.000  0.000  0.500
Te  0.419  0.419  0.740
Te  0.581  0.581  0.260
O  0.219  0.730  0.264
O  0.239  0.239  0.531
O  0.270  0.781  0.736
O  0.730  0.219  0.264
O  0.761  0.761  0.469
O  0.781  0.270  0.736

Values from the calculation:
Total magnetization: 0.000 μB per atom
Formation energy (no corrections): -18.06 eV per formula unit

=====

[2]
The following is a DFT calculation (PBE-GGA) of a geometry-optimized RbYTe2O8 structure.

Lattice parameters (Å, degrees): 5.907 5.907 8.342 90.00 90.00 120.00
Sites, in units of the cell vectors:
Rb  0.000  0.000  0.000
Y  0.000  0.000  0.500
Te  0.333  0.667  0.744
Te  0.667  0.333  0.256
O  0.101  0.337  0.668
O  0.236  0.899  0.668
O  0.333  0.667  0.962
O  0.337  0.236  0.332
O  0.663  0.764  0.668
O  0.667  0.333  0.038
O  0.764  0.101  0.332
O  0.899  0.663  0.332

Values from the calculation:
Total magnetization: 0.000 μB per atom
Formation energy (no corrections): -18.88 eV per formula unit

=====

[3]
The following is a DFT calculation (PBE-GGA) of a geometry-optimized Rb3YTe2O9 structure.

Lattice parameters (Å, degrees): 5.920 5.920 7.273 90.00 90.00 120.00
Sites, in units of the cell vectors:
Rb  0.000  0.000  0.000
Rb  0.333  0.667  0.667
Rb  0.667  0.333  0.333
Y  0.000  0.000  0.500
Te  0.333  0.667  0.169
Te  0.667  0.333  0.831
O  0.000  0.500  0.000
O  0.178  0.356  0.314
O  0.178  0.822  0.314
O  0.356  0.178  0.686
O  0.500  0.000  0.000
O  0.500  0.500  0.000
O  0.644  0.822  0.314
O  0.822  0.178  0.686
O  0.822  0.644  0.686

Values from the calculation:
Total magnetization: 0.000 μB per atom
Formation energy (no corrections): -24.28 eV per formula unit

=====

[4]
The following is a DFT calculation (PBE-GGA) of a geometry-optimized RbY3Te4O12 structure.

Lattice parameters (Å, degrees): 7.389 7.389 7.389 103.73 103.73 103.73
Sites, in units of the cell vectors:
Rb  0.000  0.000  0.000
Y  0.000  0.574  0.426
Y  0.426  0.000  0.574
Y  0.574  0.426  0.000
Te  0.092  0.500  0.908
Te  0.500  0.500  0.500
Te  0.500  0.908  0.092
Te  0.908  0.092  0.500
O  0.061  0.288  0.400
O  0.074  0.926  0.500
O  0.288  0.400  0.061
O  0.324  0.676  0.500
O  0.400  0.061  0.288
O  0.500  0.074  0.926
O  0.500  0.324  0.676
O  0.600  0.712  0.939
O  0.676  0.500  0.324
O  0.712  0.939  0.600
O  0.926  0.500  0.074
O  0.939  0.600  0.712

Values from the calculation:
Total magnetization: 0.000 μB per atom
Formation energy (no corrections): -35.52 eV per formula unit

=====

[5]
The following is a DFT calculation (PBE-GGA) of a geometry-optimized Rb2YTe3O12 structure.

Lattice parameters (Å, degrees): 7.592 7.592 7.592 58.50 58.50 58.50
Sites, in units of the cell vectors:
Rb  0.122  0.122  0.122
Rb  0.878  0.878  0.878
Y  0.500  0.500  0.500
Te  0.000  0.500  0.500
Te  0.500  0.000  0.500
Te  0.500  0.500  0.000
O  0.144  0.577  0.577
O  0.185  0.185  0.583
O  0.185  0.583  0.185
O  0.417  0.815  0.815
O  0.423  0.423  0.856
O  0.423  0.856  0.423
O  0.577  0.144  0.577
O  0.577  0.577  0.144
O  0.583  0.185  0.185
O  0.815  0.417  0.815
O  0.815  0.815  0.417
O  0.856  0.423  0.423

Values from the calculation:
Total magnetization: 0.049 μB per atom
Formation energy (no corrections): -26.30 eV per formula unit

=====

[6]
The following is a DFT calculation (PBE-GGA) of a geometry-optimized Rb2YTeO6 structure.

Lattice parameters (Å, degrees): 6.008 6.008 6.008 60.00 60.00 60.00
Sites, in units of the cell vectors:
Rb  0.250  0.250  0.250
Rb  0.750  0.750  0.750
Y  0.000  0.000  0.000
Te  0.500  0.500  0.500
O  0.270  0.270  0.730
O  0.270  0.730  0.270
O  0.270  0.730  0.730
O  0.730  0.270  0.270
O  0.730  0.270  0.730
O  0.730  0.730  0.270

Values from the calculation:
Total magnetization: 0.103 μB per atom
Formation energy (no corrections): -18.18 eV per formula unit

=====

[7]
The following is a DFT calculation (PBE-GGA) of a geometry-optimized RbZnTeO4 structure.

Lattice parameters (Å, degrees): 6.506 6.228 6.758 90.00 102.67 90.00
Sites, in units of the cell vectors:
Rb  0.122  0.250  0.063
Rb  0.878  0.750  0.937
Zn  0.405  0.250  0.673
Zn  0.595  0.750  0.327
Te  0.256  0.750  0.553
Te  0.744  0.250  0.447
O  0.226  0.004  0.714
O  0.226  0.496  0.714
O  0.273  0.750  0.263
O  0.447  0.250  0.384
O  0.553  0.750  0.616
O  0.727  0.250  0.737
O  0.774  0.504  0.286
O  0.774  0.996  0.286

Values from the calculation:
Total magnetization: 0.078 μB per atom
Formation energy (no corrections): -8.07 eV per formula unit

=====

[8]
The following is a DFT calculation (PBE-GGA) of a geometry-optimized RbZn2TeO structure.

Lattice parameters (Å, degrees): 6.086 6.086 4.271 90.00 90.00 90.00
Sites, in units of the cell vectors:
Rb  0.000  0.000  0.000
Zn  0.000  0.500  0.000
Zn  0.500  0.000  0.000
Te  0.500  0.500  0.500
O  0.000  0.000  0.500

Values from the calculation:
Total magnetization: 0.103 μB per atom
Formation energy (no corrections): 3.50 eV per formula unit

=====

Question: The lowest formation energy (no corrections) belongs to which entry?
Answer: RbY3Te4O12